# Al2CoH6 PBE-GGA relaxed
# - final energy (eV per atom) = -3.683
# - DOS at the Fermi energy (states/eV/cell) = 2.7
# - SG = No. 225
data_Al2CoH6
_chemical_formula_sum 'Al2 Co1 H6'
_cell_length_a 4.3372
_cell_length_b 4.3372
_cell_length_c 4.3372
_cell_angle_alpha 60.00
_cell_angle_beta 60.00
_cell_angle_gamma 60.00
_symmetry_space_group_name_H-M 'P 1'
_symmetry_Int_Tables_number 1
loop_
_symmetry_equiv_pos_as_xyz
'x,y,z'
loop_
_atom_site_label
_atom_site_type_symbol
_atom_site_fract_x
_atom_site_fract_y
_atom_site_fract_z
H1 H 0.7304 0.2696 0.2696
H2 H 0.2696 0.7304 0.2696
H3 H 0.2696 0.2696 0.7304
H4 H 0.7304 0.7304 0.2696
H5 H 0.2696 0.7304 0.7304
H6 H 0.7304 0.2696 0.7304
Co1 Co 0.0000 0.0000 0.0000
Al1 Al 0.7500 0.7500 0.7500
Al2 Al 0.2500 0.2500 0.2500